No. 1
DFT (PBE) results for a relaxed structure of Nd4MgAl2.

## Properties
Energy relative to the lowest polymorph listed for this composition = 0 meV per atom
Calculated formation energy = -190 meV per atom

The structure in extended XYZ format:
```
7
Lattice="5.0430 0.0000 1.5755 2.2754 4.5005 1.5755 -0.0391 -0.0240 8.9837" Properties=species:S:1:pos:R:3 pbc="T T T"
Nd 6.3356 3.8961 6.2968
Nd 0.9437 0.5803 5.8380
Nd 4.4928 2.7629 3.3365
Nd 2.7864 1.7135 8.7983
Mg 0.0000 0.0000 0.0000
Al 5.4052 3.3240 9.2747
Al 1.8741 1.1525 2.8601
```


No. 2
DFT (PBE) results for a relaxed structure of NdMgAl2.

## Properties
Energy relative to the lowest polymorph listed for this composition = 4 meV per atom
Calculated formation energy = -293 meV per atom

The structure in extended XYZ format:
```
16
Lattice="-2.9854 3.6415 -0.5561 -5.2635 -4.0065 2.0215 1.7501 3.0557 10.6132" Properties=species:S:1:pos:R:3 pbc="T T T"
Nd -2.9620 2.7708 3.7234
Nd -3.5369 -0.0801 8.3553
Nd -5.9168 0.2035 2.7752
Nd -0.5821 2.4871 9.3034
Mg -3.4750 1.8748 0.6107
Mg -3.0238 0.8158 11.4679
Mg -5.4032 1.0999 5.8877
Mg -1.0956 1.5908 6.1909
Al -5.0744 -1.7625 5.5931
Al -1.4245 4.4531 6.4856
Al -2.8298 -0.4353 2.2340
Al -3.6690 3.1260 9.8447
Al -0.8169 1.0958 1.4536
Al -5.6819 1.5949 10.6250
Al -3.0592 -0.2275 4.8263
Al -3.4396 2.9181 7.2523
```


No. 3
DFT (PBE) results for a relaxed structure of Nd2MgAl12Ni3.

## Properties
Calculated formation energy = 32 meV per atom

The structure in extended XYZ format:
```
18
Lattice="-6.3180 -3.9222 2.4884 -1.1590 -6.9819 -3.3767 1.4849 -6.2134 4.5476" Properties=species:S:1:pos:R:3 pbc="T T T"
Nd -3.4903 -9.9707 2.1315
Nd -2.5017 -7.1467 1.5278
Mg 0.0000 0.0000 0.0000
Al -0.6106 -8.2831 3.7841
Al -5.6029 -11.9836 1.3233
Al -2.6011 -12.8650 2.1155
Al -5.4905 -6.8502 2.4962
Al -4.5858 -11.6879 4.3718
Al -2.2641 -8.7637 -1.1717
Al -5.3814 -8.8343 -0.1248
Al -0.3891 -5.1338 2.3360
Al -3.3909 -4.2524 1.5438
Al -0.5015 -10.2672 1.1631
Al -1.4063 -5.4295 -0.7125
Al -3.7279 -8.3537 4.8310
Ni -3.1590 -1.9611 1.2442
Ni -0.5795 -3.4909 -1.6883
Ni 0.7425 -3.1067 2.2738
```


No. 4
DFT (PBE) results for a relaxed structure of Nd12MgAl4O3.

## Properties
Formation energy from raw total energies = -758.3 meV/atom

The structure in extended XYZ format:
```
20
Lattice="-2.8356 -7.8984 2.8038 -1.1355 0.6041 -8.7540 8.5874 0.9059 1.9296" Properties=species:S:1:pos:R:3 pbc="T T T"
Nd 5.1639 -0.9931 -2.2288
Nd 4.1916 -5.0959 3.4495
Nd 1.5601 -1.8966 1.2839
Nd -0.5476 -5.3953 -1.7918
Nd -2.8940 -5.3158 -4.3363
Nd -1.0771 -1.9785 -1.6139
Nd 1.8831 -5.3198 0.8791
Nd 2.7332 -1.0686 -4.8998
Nd 4.7388 -3.1188 0.6606
Nd 5.4306 1.1004 -4.9734
Nd -0.1226 -3.2697 -4.6812
Nd 2.0212 0.4096 -1.8510
Mg 0.0000 0.0000 0.0000
Al 2.3081 -3.1942 -2.0103
Al 4.2937 0.4530 0.9648
Al -1.4178 -3.9492 1.4019
Al -0.5677 0.3020 -4.3770
O 2.8759 -3.4963 2.3667
O -1.9856 -3.6472 -2.9751
O 3.7259 0.7550 -3.4122
```


No. 5
DFT (PBE) results for a relaxed structure of NdMg2AlPd4.

## Properties
Calculated formation energy = -744 meV per atom

The structure in extended XYZ format:
```
8
Lattice="-2.8516 2.8648 1.9489 -3.8378 -1.5092 1.7694 1.6161 -0.7166 8.5842" Properties=species:S:1:pos:R:3 pbc="T T T"
Nd 0.0000 0.0000 0.0000
Mg -3.9193 0.5140 9.0085
Mg -1.1540 0.1250 3.2940
Al -2.5367 0.3195 6.1513
Pd -1.3822 -0.0312 8.3560
Pd -5.1616 0.8915 6.6360
Pd 0.0883 -0.2524 5.6665
Pd -3.6911 0.6703 3.9465
```


No. 6
DFT (PBE) results for a relaxed structure of Nd2Mg2Al5Pd.

## Properties
Calculated formation energy = -271 meV per atom

The structure in extended XYZ format:
```
20
Lattice="3.4804 0.0000 0.0000 0.0000 11.0364 0.0000 0.0000 0.0000 11.0364" Properties=species:S:1:pos:R:3 pbc="T T T"
Nd 0.0000 7.3639 1.8457
Nd 0.0000 3.6725 9.1907
Nd 0.0000 1.8457 3.6725
Nd 0.0000 9.1907 7.3639
Mg 0.0000 1.5108 7.0290
Mg 0.0000 9.5255 4.0074
Mg 0.0000 7.0290 9.5255
Mg 0.0000 4.0074 1.5108
Al 1.7402 1.9029 0.6138
Al 1.7402 9.1335 10.4226
Al 1.7402 0.6138 9.1335
Al 1.7402 7.4210 4.9044
Al 1.7402 10.4226 1.9029
Al 1.7402 3.6153 6.1320
Al 1.7402 6.1320 7.4210
Al 1.7402 4.9044 3.6153
Al 1.7402 5.5182 0.0000
Al 1.7402 0.0000 5.5182
Pd 0.0000 0.0000 0.0000
Pd 0.0000 5.5182 5.5182
```


No. 7
DFT (PBE) results for a relaxed structure of Nd2MgAlPd6.

## Properties
Calculated formation energy = -622 meV per atom

The structure in extended XYZ format:
```
10
Lattice="-4.4119 -3.4496 6.5304 -0.2767 -4.9854 -2.8340 0.3643 -6.5008 5.6144" Properties=species:S:1:pos:R:3 pbc="T T T"
Nd -0.9827 -7.3666 1.4353
Nd -3.3415 -7.5692 7.8755
Mg 0.0000 0.0000 0.0000
Al -2.3443 -4.2175 1.8482
Pd -1.3218 -4.7030 -0.3533
Pd -3.1420 -12.7689 8.2168
Pd -0.9338 -5.2839 3.5795
Pd -3.0024 -10.2327 9.6641
Pd -1.1821 -2.1669 1.0940
Pd -3.3904 -9.6518 5.7313
```


No. 8
DFT (PBE) results for a relaxed structure of NdMg2AlPd2.

## Properties
Calculated formation energy = -420 meV per atom

The structure in extended XYZ format:
```
6
Lattice="-0.5942 -1.5147 4.4177 -1.8240 -4.0243 -1.6252 5.5315 -2.4661 -0.1015" Properties=species:S:1:pos:R:3 pbc="T T T"
Nd 2.7657 -1.2331 -0.0508
Mg 2.9508 -4.6242 1.3199
Mg 0.1624 -3.3810 1.3710
Al 0.0000 0.0000 0.0000
Pd -0.2971 -0.7574 2.2088
Pd -0.9120 -2.0121 -0.8126
```


No. 9
DFT (PBE) results for a relaxed structure of Nd3MgAl2Pd9.

## Properties
Calculated formation energy = -594 meV per atom

The structure in extended XYZ format:
```
15
Lattice="-2.9922 4.8808 0.9779 0.3974 -4.0435 4.1502 9.0494 4.7870 3.7973" Properties=species:S:1:pos:R:3 pbc="T T T"
Nd 4.8381 1.8780 5.4303
Nd 0.0000 0.0000 0.0000
Nd 1.6164 3.7462 3.4951
Mg 4.5247 2.3935 1.8987
Al 0.7396 -0.2900 3.7105
Al 5.7149 5.9143 5.2150
Pd 3.7310 6.6900 4.0845
Pd 3.9340 4.6242 6.2048
Pd 5.2597 4.1964 3.5848
Pd 1.1948 1.4279 5.3406
Pd 2.5205 1.0001 2.7207
Pd 2.7235 -1.0657 4.8410
Pd -1.4961 2.4404 0.4890
Pd 0.1987 -2.0217 2.0751
Pd -1.2974 0.4187 2.5641
```


No. 10
DFT (PBE) results for a relaxed structure of Nd2MgAl4Pd3.

## Properties
Calculated formation energy = -707 meV per atom

The structure in extended XYZ format:
```
10
Lattice="-0.9968 -0.4425 -4.1192 -1.1104 -4.0532 0.7041 -10.4132 3.2301 2.1729" Properties=species:S:1:pos:R:3 pbc="T T T"
Nd -2.9588 0.5420 -1.5462
Nd -8.5079 0.4403 2.0116
Mg -6.2602 -0.6328 -0.6211
Al -1.0536 -2.2479 -1.7075
Al 0.0000 0.0000 0.0000
Al -7.2580 1.8755 -0.6491
Al -4.2088 -0.8933 1.1145
Pd -5.2066 1.6151 1.0865
Pd -9.5992 2.6018 -0.1605
Pd -1.8675 -1.6195 0.6259
```


No. 11
DFT (PBE) results for a relaxed structure of Nd2MgAl2Pd5.

## Properties
Calculated formation energy = -732 meV per atom

The structure in extended XYZ format:
```
20
Lattice="3.4444 0.0000 0.0000 0.0000 10.5105 0.0000 0.0000 0.0000 10.5105" Properties=species:S:1:pos:R:3 pbc="T T T"
Nd 0.0000 7.1103 1.8551
Nd 0.0000 3.4001 8.6554
Nd 0.0000 1.8551 3.4001
Nd 0.0000 8.6554 7.1103
Mg 0.0000 0.0000 0.0000
Mg 0.0000 5.2552 5.2552
Al 0.0000 1.2999 6.5551
Al 0.0000 9.2106 3.9553
Al 0.0000 6.5551 9.2106
Al 0.0000 3.9553 1.2999
Pd 1.7222 2.1919 0.6275
Pd 1.7222 8.3186 9.8830
Pd 1.7222 0.6275 8.3186
Pd 1.7222 7.4471 4.6277
Pd 1.7222 9.8830 2.1919
Pd 1.7222 3.0634 5.8827
Pd 1.7222 5.8827 7.4471
Pd 1.7222 4.6277 3.0634
Pd 1.7222 5.2552 0.0000
Pd 1.7222 0.0000 5.2552
```


No. 12
DFT (PBE) results for a relaxed structure of NdMgAlPd2.

## Properties
Calculated formation energy = -714 meV per atom

The structure in extended XYZ format:
```
5
Lattice="4.1577 0.0000 0.0000 0.0000 4.1577 0.0000 -2.0788 -2.0788 5.8916" Properties=species:S:1:pos:R:3 pbc="T T T"
Nd 0.0000 0.0000 0.0000
Mg 0.0000 2.0788 2.9458
Al 2.0788 0.0000 2.9458
Pd 2.0788 2.0788 1.3641
Pd 0.0000 0.0000 4.5276
```


No. 13
DFT (PBE) results for a relaxed structure of PmNdMgAl.

## Properties
Calculated formation energy = -260 meV per atom

The structure in extended XYZ format:
```
4
Lattice="5.3497 0.0000 0.0000 2.6748 4.6330 0.0000 2.6748 1.5443 4.3680" Properties=species:S:1:pos:R:3 pbc="T T T"
Mg 0.0000 0.0000 0.0000
Nd 8.0245 4.6330 3.2760
Al 5.3497 3.0886 2.1840
Pm 2.6748 1.5443 1.0920
```


No. 14
DFT (PBE) results for a relaxed structure of PrNdMgAl.

## Properties
Calculated formation energy = -252 meV per atom

The structure in extended XYZ format:
```
4
Lattice="5.3863 0.0000 0.0000 2.6931 4.6647 0.0000 2.6931 1.5549 4.3979" Properties=species:S:1:pos:R:3 pbc="T T T"
Pr 2.6931 1.5549 1.0995
Mg 0.0000 0.0000 0.0000
Nd 8.0794 4.6647 3.2984
Al 5.3863 3.1098 2.1989
```


No. 15
DFT (PBE) results for a relaxed structure of Nd2MgAl4Pt3.

## Properties
Calculated formation energy = -932 meV per atom

The structure in extended XYZ format:
```
10
Lattice="4.2582 0.0000 0.0000 0.0000 4.2582 0.0000 0.0000 0.0000 10.9781" Properties=species:S:1:pos:R:3 pbc="T T T"
Nd 2.1291 0.0000 2.6064
Nd 0.0000 2.1291 8.3716
Mg 2.1291 2.1291 5.4890
Al 2.1291 2.1291 0.0000
Al 0.0000 0.0000 0.0000
Al 2.1291 0.0000 7.0883
Al 0.0000 2.1291 3.8897
Pt 0.0000 0.0000 5.4890
Pt 2.1291 0.0000 9.5740
Pt 0.0000 2.1291 1.4041
```


No. 16
DFT (PBE) results for a relaxed structure of NdMgAl2Pt2.

## Properties
Calculated formation energy = -960 meV per atom

The structure in extended XYZ format:
```
6
Lattice="4.4235 0.0000 0.0000 -2.2117 3.8308 0.0000 0.0000 0.0000 6.8430" Properties=species:S:1:pos:R:3 pbc="T T T"
Nd 0.0000 0.0000 0.0000
Mg 0.0000 0.0000 3.4215
Al 0.0000 2.5539 4.6805
Al 2.2117 1.2769 2.1625
Pt 0.0000 2.5539 1.9826
Pt 2.2117 1.2769 4.8603
```


No. 17
DFT (PBE) results for a relaxed structure of Nd2MgAlPt6.

## Properties
Calculated formation energy = -842 meV per atom

The structure in extended XYZ format:
```
10
Lattice="5.6773 0.0941 0.0781 -0.1727 8.5038 1.9490 2.6572 5.7315 6.0174" Properties=species:S:1:pos:R:3 pbc="T T T"
Nd 2.6442 8.3483 3.8469
Nd 5.5176 5.9811 4.1977
Mg 2.7523 4.2989 1.0135
Al 0.0000 0.0000 0.0000
Pt 1.3004 6.5326 1.5853
Pt 4.1064 6.5799 1.6243
Pt 2.6990 5.1619 3.5963
Pt 6.8614 7.7968 6.4592
Pt 4.0554 7.7495 6.4202
Pt 5.4628 9.1675 4.4482
```


No. 18
DFT (PBE) results for a relaxed structure of NdMgAlPt2.

## Properties
Calculated formation energy = -984 meV per atom

The structure in extended XYZ format:
```
5
Lattice="-3.7400 -1.2577 1.0881 0.6115 -3.5303 -1.9789 3.8354 -0.0227 5.4586" Properties=species:S:1:pos:R:3 pbc="T T T"
Nd 0.0000 0.0000 0.0000
Mg 1.4413 -2.9735 1.5171
Al -0.7344 -1.8372 3.0506
Pt -1.0442 -2.9474 0.7023
Pt 1.7512 -1.8634 3.8653
```


No. 19
DFT (PBE) results for a relaxed structure of NdPuMgAl.

## Properties
Calculated formation energy = -55 meV per atom

The structure in extended XYZ format:
```
4
Lattice="5.2886 0.0000 0.0000 2.6443 4.5801 0.0000 2.6443 1.5267 4.3182" Properties=species:S:1:pos:R:3 pbc="T T T"
Mg 5.2886 3.0534 2.1591
Nd 7.9330 4.5801 3.2386
Al 0.0000 0.0000 0.0000
Pu 2.6443 1.5267 1.0795
```


No. 20
DFT (PBE) results for a relaxed structure of NdMgScAl.

## Properties
Calculated formation energy = -255 meV per atom

The structure in extended XYZ format:
```
4
Lattice="5.1363 0.0000 0.0000 2.5681 4.4482 0.0000 2.5681 1.4827 4.1938" Properties=species:S:1:pos:R:3 pbc="T T T"
Sc 2.5681 1.4827 1.0484
Mg 5.1363 2.9654 2.0969
Nd 7.7044 4.4482 3.1453
Al 0.0000 0.0000 0.0000
```